1.
A geometry-optimized Al4OsAu structure, computed with PBE.

a = 5.0530 Å, b = 5.0530 Å, c = 5.0530 Å
α = 60.00°, β = 60.00°, γ = 60.00°
Sites, in units of the cell vectors:
Al: 0.3756 0.3756 0.3756
Al: 0.3756 0.3756 0.8731
Al: 0.3756 0.8731 0.3756
Al: 0.8731 0.3756 0.3756
Os: 0.7500 0.7500 0.7500
Au: 0.0000 0.0000 0.0000

Values from the calculation:
V ... 91.2 Å³/cell
ΔE_f ... 0.1355 eV per atom

***

2.
A geometry-optimized PmDyTlGe structure, computed with PBE.

a = 5.2799 Å, b = 5.2799 Å, c = 5.2799 Å
α = 60.00°, β = 60.00°, γ = 60.00°
Sites, in units of the cell vectors:
Pm: 0.0000 0.0000 0.0000
Dy: 0.5000 0.5000 0.5000
Tl: 0.2500 0.2500 0.2500
Ge: 0.7500 0.7500 0.7500

Values from the calculation:
V ... 104.1 Å³/cell
ΔE_f ... -0.4388 eV per atom

***

3.
A geometry-optimized CsLi3Pd structure, computed with PBE.

a = 5.0829 Å, b = 5.0829 Å, c = 5.0829 Å
α = 90.00°, β = 90.00°, γ = 90.00°
Sites, in units of the cell vectors:
Cs: 0.0000 0.0000 0.0000
Li: 0.0000 0.0000 0.5000
Li: 0.0000 0.5000 0.0000
Li: 0.5000 0.0000 0.0000
Pd: 0.5000 0.5000 0.5000

Values from the calculation:
V ... 131.3 Å³/cell
Energy above the lowest structure with this stoichiometry ... 1019 meV per atom
ΔE_f ... 1.0129 eV per atom

***

4.
A geometry-optimized BaH2N structure, computed with PBE.

a = 4.1292 Å, b = 4.7390 Å, c = 6.9090 Å
α = 90.00°, β = 90.00°, γ = 90.00°
Sites, in units of the cell vectors:
Ba: 0.2500 0.2500 0.2084
Ba: 0.7500 0.7500 0.7916
H: 0.0619 0.2500 0.7094
H: 0.4381 0.2500 0.7094
H: 0.5619 0.7500 0.2906
H: 0.9381 0.7500 0.2906
N: 0.2500 0.2500 0.8120
N: 0.7500 0.7500 0.1880

Values from the calculation:
V ... 135.2 Å³/cell
Energy above the lowest structure with this stoichiometry ... 33 meV per atom

***

5.
A geometry-optimized LiPW2 structure, computed with PBE.

a = 3.3601 Å, b = 3.9591 Å, c = 4.1969 Å
α = 90.00°, β = 90.00°, γ = 90.00°
Sites, in units of the cell vectors:
Li: 0.0000 0.0000 0.0000
P: 0.5000 0.0000 0.5000
W: 0.0000 0.5000 0.5000
W: 0.5000 0.5000 0.0000

Values from the calculation:
V ... 55.8 Å³/cell
ΔE_f ... 0.2993 eV per atom

***

6.
A geometry-optimized SrNCl3 structure, computed with PBE.

a = 8.3810 Å, b = 8.4828 Å, c = 9.1568 Å
α = 117.06°, β = 98.50°, γ = 92.30°
Sites, in units of the cell vectors:
Sr: 0.1871 0.0423 0.3635
Sr: 0.2513 0.3587 0.9906
Sr: 0.7487 0.6413 0.0094
Sr: 0.8129 0.9577 0.6365
N: 0.1994 0.1846 0.1626
N: 0.4836 0.3884 0.8147
N: 0.5164 0.6116 0.1853
N: 0.8006 0.8154 0.8374
Cl: 0.1110 0.7026 0.0875
Cl: 0.1623 0.0079 0.6674
Cl: 0.1911 0.4003 0.3361
Cl: 0.3244 0.4899 0.7524
Cl: 0.4085 0.1390 0.1742
Cl: 0.4754 0.7878 0.3746
Cl: 0.5246 0.2122 0.6254
Cl: 0.5915 0.8610 0.8258
Cl: 0.6756 0.5101 0.2476
Cl: 0.8089 0.5997 0.6639
Cl: 0.8377 0.9921 0.3326
Cl: 0.8890 0.2974 0.9125

Values from the calculation:
V ... 569.1 Å³/cell
Energy above the lowest structure with this stoichiometry ... 372 meV per atom
Uncorrected formation energy ... -807 meV/atom

***

7.
A geometry-optimized NaYAgPt structure, computed with PBE.

a = 4.9316 Å, b = 4.9316 Å, c = 4.9316 Å
α = 60.00°, β = 60.00°, γ = 60.00°
Sites, in units of the cell vectors:
Na: 0.0000 0.0000 0.0000
Y: 0.5000 0.5000 0.5000
Ag: 0.2500 0.2500 0.2500
Pt: 0.7500 0.7500 0.7500

Values from the calculation:
V ... 84.8 Å³/cell
ΔE_f ... -0.4477 eV per atom

***

8.
A geometry-optimized PmNdDyHg structure, computed with PBE.

a = 5.4988 Å, b = 5.4988 Å, c = 5.4988 Å
α = 60.00°, β = 60.00°, γ = 60.00°
Sites, in units of the cell vectors:
Pm: 0.0000 0.0000 0.0000
Nd: 0.7500 0.7500 0.7500
Dy: 0.2500 0.2500 0.2500
Hg: 0.5000 0.5000 0.5000

Values from the calculation:
V ... 117.6 Å³/cell
Energy above the lowest structure with this stoichiometry ... 192 meV per atom
ΔE_f ... -0.0402 eV per atom

***

9.
A geometry-optimized ScInFe3 structure, computed with PBE.

a = 4.4894 Å, b = 4.4894 Å, c = 4.4894 Å
α = 90.00°, β = 90.00°, γ = 90.00°
Sites, in units of the cell vectors:
Sc: 0.0000 0.0000 0.0000
In: 0.5000 0.5000 0.5000
Fe: 0.0000 0.0000 0.5000
Fe: 0.0000 0.5000 0.0000
Fe: 0.5000 0.0000 0.0000

Values from the calculation:
V ... 90.5 Å³/cell
Energy above the lowest structure with this stoichiometry ... 0 meV per atom
ΔE_f ... 1.1909 eV per atom

***

10.
A geometry-optimized Pr8Rh2Au structure, computed with PBE.

a = 8.1344 Å, b = 8.1344 Å, c = 5.9591 Å
α = 99.79°, β = 99.79°, γ = 116.23°
Sites, in units of the cell vectors:
Pr: 0.0918 0.3390 0.5676
Pr: 0.2292 0.7708 0.0000
Pr: 0.3390 0.0918 0.5676
Pr: 0.3787 0.3787 0.1749
Pr: 0.6213 0.6213 0.8251
Pr: 0.6610 0.9082 0.4324
Pr: 0.7708 0.2292 0.0000
Pr: 0.9082 0.6610 0.4324
Rh: 0.2869 0.7131 0.5000
Rh: 0.7131 0.2869 0.5000
Au: 0.0000 0.0000 0.0000

Values from the calculation:
V ... 334.9 Å³/cell
ΔE_f ... -0.3050 eV per atom